# 1
The following is a DFT calculation (PBE) of an optimized crystal structure of HfGeTe3.

abc: 5.5487 5.5487 5.5487
angles: 90.00 90.00 90.00
Last column: magnetic moment on the atom in μB.
Fractional positions:
1 Ge 0.5000 0.5000 0.5000  0.28
2 Hf 0.0000 0.0000 0.0000  0.03
3 Te 0.0000 0.0000 0.5000  -0.05
4 Te 0.5000 0.0000 0.0000  -0.04
5 Te 0.0000 0.5000 0.0000  -0.04

## Properties
Space-group type: Pm-3m (221)
Uncorrected formation energy (kJ/mol of formula units): 69
Spin magnetization (μB/f.u.): 0.5
DOS at the Fermi energy (states/eV/cell): 3.8
Total DFT energy (no corrections) (Ry per atom): -0.342

***

# 2
The following is a DFT calculation (PBE) of an optimized crystal structure of Pm8GeRh2.

abc: 5.1669 6.8863 9.7257
angles: 111.00 105.40 90.00
Fractional positions:
1 Pm 0.8000 0.6543 0.5999
2 Pm 0.2000 0.3457 0.4001
3 Pm 0.6792 0.0087 0.3584
4 Pm 0.9696 0.2090 0.9391
5 Pm 0.0304 0.7910 0.0609
6 Pm 0.5958 0.4725 0.1915
7 Pm 0.4042 0.5275 0.8085
8 Pm 0.3208 0.9913 0.6416
9 Rh 0.8362 0.2832 0.6724
10 Rh 0.1638 0.7168 0.3276
11 Ge 0.5000 0.0000 0.0000

## Properties
Space-group type: C2/m (12)
Spin magnetization (μB/f.u.): 0.0
Formation enthalpy at 0 K (meV per atom): -415.8
DOS at the Fermi energy (states/eV/cell): 9.6
Total DFT energy (no corrections) (Ry per atom): -0.414

***

# 3
The following is a DFT calculation (PBE) of an optimized crystal structure of Sr2NiSb2.

abc: 9.6253 9.6253 9.6253
angles: 154.73 154.73 36.04
Fractional positions:
1 Sr 0.5978 0.5978 0.0000
2 Sr 0.4022 0.4022 0.0000
3 Sb 0.2500 0.7500 0.5000
4 Sb 0.7500 0.2500 0.5000
5 Ni 0.0000 0.0000 0.0000

## Properties
Space-group type: I4/mmm (139)
Uncorrected formation energy (kJ/mol of formula units): -39
Spin magnetization (μB/f.u.): 0.0
DOS at the Fermi energy (states/eV/cell): 2.7
Total DFT energy (no corrections) (Ry per atom): -0.262

***

# 4
The following is a DFT calculation (PBE) of an optimized crystal structure of MgZn3Cu4.

abc: 4.2288 6.0744 8.4604
angles: 90.00 90.00 90.00
Fractional positions:
1 Zn 0.4946 0.5000 0.2500
2 Zn 0.0000 0.0000 0.5000
3 Zn 0.0000 0.0000 0.0000
4 Zn 0.5081 0.0000 0.7500
5 Zn 0.5054 0.5000 0.7500
6 Zn 0.4919 0.0000 0.2500
7 Mg 0.0000 0.5000 0.0000
8 Mg 0.0000 0.5000 0.5000
9 Cu 0.5000 0.7625 0.5000
10 Cu 0.0086 0.7625 0.7500
11 Cu 0.5000 0.2375 0.0000
12 Cu 0.5000 0.7625 0.0000
13 Cu 0.9914 0.7625 0.2500
14 Cu 0.9914 0.2375 0.2500
15 Cu 0.5000 0.2375 0.5000
16 Cu 0.0086 0.2375 0.7500

## Properties
Space-group type: Pmma (51)
Spin magnetization (μB/f.u.): 0.0
Formation enthalpy at 0 K (meV per atom): -92.1
DOS at the Fermi energy (states/eV/cell): 4.6
Total DFT energy (no corrections) (Ry per atom): -0.207

***

# 5
The following is a DFT calculation (PBE) of an optimized crystal structure of BaGa2RuSe.

abc: 5.1562 6.0642 5.1562
angles: 90.00 90.00 90.00
Last column: magnetic moment on the atom in μB.
Fractional positions:
1 Ba 0.0000 0.5000 0.0000  -0.06
2 Ga 0.0000 0.0000 0.5000  -0.03
3 Ga 0.5000 0.0000 0.0000  -0.03
4 Ru 0.5000 0.5000 0.5000  2.06
5 Se 0.0000 0.0000 0.0000  0.00

## Properties
Space-group type: P4/mmm (123)
Uncorrected formation energy (kJ/mol of formula units): 339
Spin magnetization (μB/f.u.): 1.9
DOS at the Fermi energy (states/eV/cell): 4.5
Total DFT energy (no corrections) (Ry per atom): -0.253

***

# 6
The following is a DFT calculation (PBE) of an optimized crystal structure of MgFe2Mo2.

abc: 7.1658 7.1658 2.7890
angles: 90.00 90.00 90.00
Fractional positions:
1 Fe 0.3716 0.8716 0.0000
2 Fe 0.1284 0.3716 0.0000
3 Fe 0.6284 0.1284 0.0000
4 Fe 0.8716 0.6284 0.0000
5 Mg 0.5000 0.5000 0.0000
6 Mg 0.0000 0.0000 0.0000
7 Mo 0.6633 0.8367 0.5000
8 Mo 0.1633 0.6633 0.5000
9 Mo 0.8367 0.3367 0.5000
10 Mo 0.3367 0.1633 0.5000

## Properties
Space-group type: P4/mbm (127)
Spin magnetization (μB/f.u.): 0.0
Formation enthalpy at 0 K (meV per atom): 185.4
DOS at the Fermi energy (states/eV/cell): 7.7
Total DFT energy (no corrections) (Ry per atom): -0.577

***

Question: The lowest total DFT energy (no corrections) belongs to which entry?
Answer: MgFe2Mo2

***

Question: What is the formula in the fourth record?
Answer: MgZn3Cu4

***

Question: Look up the spin magnetization of the second one.
Answer: 0.0 μB/f.u.